## Pu2ThAl (PBE-GGA)

Data for a geometry-optimized Pu2ThAl structure.

a = 3.883 Å, b = 3.883 Å, c = 6.716 Å
α = 90.00°, β = 90.00°, γ = 90.00°
Last column: magnetic moment on the atom in μB.
Element x y z (fractional)
Al (0.500, 0.500, 0.000)  -0.02
Th (0.500, 0.500, 0.500)  0.38
Pu (0.000, 0.000, 0.782)  5.30
Pu (0.000, 0.000, 0.218)  5.30

size of the total moment	11.734	μB/f.u.
DFT total energy	-9.93	eV per atom
space-group type	No. 123
DFT formation energy	28	meV per atom
Fermi-level density of states	12.53	states/eV/cell